No. 1
Sr4BeCr (PBE-GGA, optimized geometry); space-group type = F-43m (216); VASP energy = -2.203 eV/atom; density of states at the Fermi level = 1.157 states/eV per atom; size of the total moment = 4.5 Bohr magnetons per cell; DFT formation energy = 6.86 eV/f.u.; crystal system = cubic
1.0
0.000 4.989 4.989
4.989 0.000 4.989
4.989 4.989 0.000
Sr Be Cr
4 1 1
Direct
0.125 0.125 0.125 Sr
0.125 0.125 0.625 Sr
0.125 0.625 0.125 Sr
0.625 0.125 0.125 Sr
0.750 0.750 0.750 Be
0.500 0.500 0.500 Cr

=====

No. 2
NpMn4Ru (PBE-GGA, optimized geometry); space-group type = F-43m (216); VASP energy = -9.558 eV/atom; density of states at the Fermi level = 1.579 states/eV per atom; size of the total moment = 7.0 Bohr magnetons per cell; DFT formation energy = 1.54 eV/f.u.; crystal system = cubic
1.0
0.000 3.436 3.436
3.436 0.000 3.436
3.436 3.436 0.000
Np Mn Ru
1 4 1
Direct
0.000 0.000 0.000 Np
0.129 0.624 0.624 Mn
0.624 0.129 0.624 Mn
0.624 0.624 0.129 Mn
0.624 0.624 0.624 Mn
0.250 0.250 0.250 Ru

=====

No. 3
LaSc2V2 (PBE-GGA, optimized geometry); space-group type = P4/mbm (127); VASP energy = -6.860 eV/atom; density of states at the Fermi level = 1.469 states/eV per atom; size of the total moment = 0.4 Bohr magnetons per cell; DFT formation energy = 1.53 eV/f.u.; crystal system = tetragonal
1.0
8.142 0.000 0.000
0.000 8.142 0.000
0.000 0.000 3.346
La Sc V
2 4 4
Direct
0.000 0.000 0.000 La
0.500 0.500 0.000 La
0.196 0.304 0.500 Sc
0.304 0.804 0.500 Sc
0.696 0.196 0.500 Sc
0.804 0.696 0.500 Sc
0.087 0.587 0.000 V
0.413 0.087 0.000 V
0.587 0.913 0.000 V
0.913 0.413 0.000 V

=====

No. 4
BaRh2W (PBE-GGA, optimized geometry); space-group type = P4mm (99); VASP energy = -6.913 eV/atom; density of states at the Fermi level = 1.261 states/eV per atom; size of the total moment = 0.0 Bohr magnetons per cell; DFT formation energy = 1.93 eV/f.u.; ΔE to the lowest computed polymorph = 364 meV/atom; crystal system = tetragonal
1.0
3.397 0.000 0.000
0.000 3.397 0.000
0.000 0.000 7.566
Ba Rh W
1 2 1
Direct
0.000 0.000 0.000 Ba
0.000 0.000 0.507 Rh
0.500 0.500 0.303 Rh
0.500 0.500 0.627 W

=====

No. 5
TbEr2Mn (PBE-GGA, optimized geometry); space-group type = P4/mmm (123); VASP energy = -5.619 eV/atom; density of states at the Fermi level = 1.465 states/eV per atom; size of the total moment = 3.5 Bohr magnetons per cell; DFT formation energy = 0.45 eV/f.u.; ΔE to the lowest computed polymorph = 0 meV/atom; crystal system = tetragonal
1.0
3.511 0.000 0.000
0.000 3.511 0.000
0.000 0.000 8.581
Tb Er Mn
1 2 1
Direct
0.000 0.000 0.000 Tb
0.500 0.500 0.301 Er
0.500 0.500 0.699 Er
0.000 0.000 0.500 Mn

=====

No. 6
Ag3OsBr (PBE-GGA, optimized geometry); space-group type = Pm-3m (221); VASP energy = -2.967 eV/atom; density of states at the Fermi level = 0.313 states/eV per atom; size of the total moment = 2.2 Bohr magnetons per cell; ΔE to the lowest computed polymorph = 0 meV/atom; crystal system = cubic
1.0
5.176 0.000 0.000
0.000 5.176 0.000
0.000 0.000 5.176
Ag Os Br
3 1 1
Direct
0.000 0.000 0.500 Ag
0.000 0.500 0.000 Ag
0.500 0.000 0.000 Ag
0.000 0.000 0.000 Os
0.500 0.500 0.500 Br